## Rb8Sb2Te (PBE-GGA)

Data for a relaxed structure of Rb8Sb2Te.

Calculated values
- total DFT energy (no corrections) (eV/cell) = -24.78
- E_form (uncorrected) (eV/atom) = -0.51

Cell and atoms, written as POSCAR:
```
Rb8Sb2Te
1.0
-3.108 4.427 9.419
3.108 -4.427 9.419
3.108 4.427 -9.419
Rb Sb Te
8 2 1
Direct
0.114 0.349 0.765
0.184 0.184 0.000
0.277 0.000 0.277
0.416 0.651 0.765
0.584 0.349 0.235
0.723 0.000 0.723
0.816 0.816 0.000
0.886 0.651 0.235
0.320 0.820 0.500
0.680 0.180 0.500
0.000 0.500 0.500
```